Model P:
DFT (GGA-PBE) results for crystalline Pm4Dy2Ho5 at its relaxed geometry.

a b c (Å): 3.4616 8.7614 20.0927
angles (deg): 36.70 94.94 90.00
Last column: nearest neighbours and their distance in Å.
Fractional coordinates of all 11 atoms:
Pm  0.3230  0.2381  0.6461  4 Pm 3.46-3.75, 5 Ho 3.56-3.69, 2 Dy 3.62
Pm  0.9092  0.6219  0.8184  2 Dy 3.28-3.40, 2 Ho 3.36-3.39, 2 Pm 3.46
Pm  0.0908  0.3781  0.1816  2 Dy 3.28-3.40, 2 Ho 3.36-3.39, 2 Pm 3.46
Pm  0.6770  0.7619  0.3539  4 Pm 3.46-3.75, 5 Ho 3.56-3.69, 2 Dy 3.62
Dy  0.9545  0.8240  0.9089  4 Pm 3.28-3.62, 3 Ho 3.29-3.64, 3 Dy 3.46-3.49
Dy  0.0455  0.1760  0.0911  4 Pm 3.28-3.62, 3 Ho 3.29-3.64, 3 Dy 3.46-3.49
Ho  0.2328  0.8968  0.4656  4 Pm 3.39-3.69, 7 Ho 3.46-3.54
Ho  0.5000  0.0000  0.0000  6 Ho 3.46-3.82, 4 Dy 3.64, 4 Pm 3.74
Ho  0.7672  0.1032  0.5344  4 Pm 3.39-3.69, 7 Ho 3.46-3.54
Ho  0.1410  0.5527  0.2820  1 Dy 3.29, 3 Pm 3.36-3.56, 5 Ho 3.46-3.54
Ho  0.8590  0.4473  0.7180  1 Dy 3.29, 3 Pm 3.36-3.56, 5 Ho 3.46-3.54

Space-group type: C2/m
Density of states at the Fermi level: 20.324 states/eV per cell

***

Model Q:
DFT (GGA-PBE) results for crystalline Pm4Dy2Ho5 at its relaxed geometry.

a b c (Å): 5.6464 6.6119 9.9716
angles (deg): 90.95 106.45 90.00
Last column: nearest neighbours and their distance in Å.
Fractional coordinates of all 11 atoms:
Ho  0.2086  0.4016  0.4171  4 Ho 3.48-3.67, 4 Pm 3.57-3.67, 3 Dy 3.68-3.71
Ho  0.5000  0.0000  0.0000  6 Pm 3.42-3.75, 2 Dy 3.52
Ho  0.1301  0.8919  0.2601  5 Pm 3.09-3.38
Ho  0.7914  0.5984  0.5829  4 Ho 3.48-3.67, 4 Pm 3.57-3.67, 3 Dy 3.68-3.71
Ho  0.8699  0.1081  0.7399  5 Pm 3.09-3.38
Dy  0.4020  0.4463  0.8040  6 Ho 3.52-3.71, 6 Pm 3.63-3.88, 1 Dy 3.80
Dy  0.5980  0.5537  0.1960  6 Ho 3.52-3.71, 6 Pm 3.63-3.88, 1 Dy 3.80
Pm  0.0204  0.2870  0.0408  1 Pm 2.94, 1 Ho 3.09
Pm  0.9796  0.7130  0.9592  1 Pm 2.94, 1 Ho 3.09
Pm  0.3052  0.9261  0.6103  6 Ho 3.30-3.67, 2 Pm 3.67
Pm  0.6948  0.0739  0.3897  6 Ho 3.30-3.67, 2 Pm 3.67

Space-group type: C2/m
Density of states at the Fermi level: 16.692 states/eV per cell

***

Most stable structure: model Q

***

Model P:
DFT (GGA-PBE) results for crystalline Pm5DyHo3 at its relaxed geometry.

a b c (Å): 12.1170 12.1170 11.5810
angles (deg): 43.95 43.95 32.29
Last column: nearest neighbours and their distance in Å.
Fractional coordinates of all 18 atoms:
Ho  0.0000  0.0000  0.0000  2 Dy 3.31, 2 Pm 3.58
Ho  0.0000  0.0000  0.5000  2 Dy 3.31, 2 Pm 3.58
Ho  0.6417  0.8359  0.8951  7 Pm 3.33-3.64, 1 Ho 3.51
Ho  0.1641  0.3583  0.6049  7 Pm 3.33-3.64, 1 Ho 3.51
Ho  0.3583  0.1641  0.1049  7 Pm 3.33-3.64, 1 Ho 3.51
Ho  0.8359  0.6417  0.3951  7 Pm 3.33-3.64, 1 Ho 3.51
Pm  0.2591  0.0836  0.5020  2 Pm 3.05-3.41, 2 Ho 3.33
Pm  0.6132  0.6080  0.3301  4 Pm 3.41-3.63, 5 Ho 3.49-3.79, 2 Dy 3.77-3.81
Pm  0.3920  0.3868  0.1699  4 Pm 3.41-3.63, 5 Ho 3.49-3.79, 2 Dy 3.77-3.81
Pm  0.3124  0.6876  0.7500  1 Dy 3.02, 2 Pm 3.05
Pm  0.7409  0.9164  0.4980  2 Pm 3.05-3.41, 2 Ho 3.33
Pm  0.9164  0.7409  0.9980  2 Pm 3.05-3.41, 2 Ho 3.33
Pm  0.6876  0.3124  0.2500  1 Dy 3.02, 2 Pm 3.05
Pm  0.0836  0.2591  0.0020  2 Pm 3.05-3.41, 2 Ho 3.33
Pm  0.3868  0.3920  0.6699  4 Pm 3.41-3.63, 5 Ho 3.49-3.79, 2 Dy 3.77-3.81
Pm  0.6080  0.6132  0.8301  4 Pm 3.41-3.63, 5 Ho 3.49-3.79, 2 Dy 3.77-3.81
Dy  0.7606  0.2394  0.7500  1 Pm 3.02, 2 Ho 3.31
Dy  0.2394  0.7606  0.2500  1 Pm 3.02, 2 Ho 3.31

Space-group type: C2/c
Density of states at the Fermi level: 25.054 states/eV per cell

***

Model Q:
DFT (GGA-PBE) results for crystalline Pm5DyHo3 at its relaxed geometry.

a b c (Å): 9.2345 9.2345 9.6912
angles (deg): 118.45 118.45 90.00
Last column: nearest neighbours and their distance in Å.
Fractional coordinates of all 18 atoms:
Pm  0.1653  0.0700  0.7353  1 Ho 3.10, 1 Dy 3.13
Pm  0.3347  0.8347  0.2647  1 Ho 3.10, 1 Dy 3.13
Pm  0.8347  0.9300  0.2647  1 Ho 3.10, 1 Dy 3.13
Pm  0.6653  0.1653  0.7353  1 Ho 3.10, 1 Dy 3.13
Pm  0.5000  0.5000  0.0000  6 Ho 3.58-3.74, 8 Pm 3.83
Pm  0.0700  0.5700  0.7353  1 Ho 3.10, 1 Dy 3.13
Pm  0.9300  0.4300  0.2647  1 Ho 3.10, 1 Dy 3.13
Pm  0.5700  0.6653  0.7353  1 Ho 3.10, 1 Dy 3.13
Pm  0.4300  0.3347  0.2647  1 Ho 3.10, 1 Dy 3.13
Pm  0.0000  0.0000  0.0000  6 Ho 3.58-3.74, 8 Pm 3.83
Ho  0.8898  0.6102  0.0000  1 Ho 2.88, 2 Pm 3.10
Ho  0.7500  0.7500  0.5000  10 Pm 3.58-3.73
Ho  0.1102  0.3898  0.0000  1 Ho 2.88, 2 Pm 3.10
Ho  0.6102  0.1102  0.0000  1 Ho 2.88, 2 Pm 3.10
Ho  0.3898  0.8898  0.0000  1 Ho 2.88, 2 Pm 3.10
Ho  0.2500  0.2500  0.5000  10 Pm 3.58-3.73
Dy  0.7500  0.2500  0.5000  4 Pm 3.13
Dy  0.2500  0.7500  0.5000  4 Pm 3.13

Space-group type: I4/mcm
Density of states at the Fermi level: 25.800 states/eV per cell

***

Most stable structure: model P

***

Model P:
DFT (GGA-PBE) results for crystalline Pm6Dy2Ho at its relaxed geometry.

a b c (Å): 6.2213 10.0975 10.0975
angles (deg): 71.34 85.13 85.13
Last column: nearest neighbours and their distance in Å.
Fractional coordinates of all 18 atoms:
Dy  0.0831  0.2345  0.4318  8 Pm 3.44-3.54
Dy  0.5831  0.4318  0.2345  8 Pm 3.44-3.54
Dy  0.9169  0.7655  0.5682  8 Pm 3.44-3.54
Dy  0.4169  0.5682  0.7655  8 Pm 3.44-3.54
Ho  0.2500  0.0986  0.9014  8 Pm 3.43-3.53
Ho  0.7500  0.9014  0.0986  8 Pm 3.43-3.53
Pm  0.3473  0.9271  0.6458  4 Pm 3.35-3.66, 3 Dy 3.44-3.53, 1 Ho 3.53
Pm  0.8198  0.0218  0.7400  4 Pm 3.34-3.66, 2 Ho 3.43-3.51, 2 Dy 3.53-3.54
Pm  0.3199  0.7400  0.0218  4 Pm 3.34-3.66, 2 Ho 3.43-3.51, 2 Dy 3.53-3.54
Pm  0.1527  0.3542  0.0729  4 Pm 3.35-3.66, 3 Dy 3.44-3.53, 1 Ho 3.53
Pm  0.5136  0.3119  0.5937  4 Pm 3.34-3.66, 3 Dy 3.44-3.53, 1 Ho 3.53
Pm  0.8473  0.6458  0.9271  4 Pm 3.35-3.66, 3 Dy 3.44-3.53, 1 Ho 3.53
Pm  0.6527  0.0729  0.3542  4 Pm 3.35-3.66, 3 Dy 3.44-3.53, 1 Ho 3.53
Pm  0.9864  0.4063  0.6881  4 Pm 3.34-3.66, 3 Dy 3.44-3.53, 1 Ho 3.53
Pm  0.4864  0.6881  0.4063  4 Pm 3.34-3.66, 3 Dy 3.44-3.53, 1 Ho 3.53
Pm  0.0136  0.5937  0.3119  4 Pm 3.34-3.66, 3 Dy 3.44-3.53, 1 Ho 3.53
Pm  0.1802  0.9782  0.2600  4 Pm 3.34-3.66, 2 Ho 3.43-3.51, 2 Dy 3.53-3.54
Pm  0.6802  0.2600  0.9782  4 Pm 3.34-3.66, 2 Ho 3.43-3.51, 2 Dy 3.53-3.54

Space-group type: C2/c
Density of states at the Fermi level: 24.515 states/eV per cell

***

Model Q:
DFT (GGA-PBE) results for crystalline Pm6Dy2Ho at its relaxed geometry.

a b c (Å): 3.6504 9.9960 9.9960
angles (deg): 55.98 90.00 90.00
Last column: nearest neighbours and their distance in Å.
Fractional coordinates of all 9 atoms:
Pm  0.0000  0.4887  0.8410  6 Pm 3.30-3.65, 2 Dy 3.55
Pm  0.5000  0.6841  0.3159  7 Pm 3.44-3.65, 2 Ho 3.48
Pm  0.0000  0.5113  0.1590  6 Pm 3.30-3.65, 2 Dy 3.55
Pm  0.5000  0.3159  0.6841  7 Pm 3.44-3.65, 2 Ho 3.48
Pm  0.0000  0.1590  0.5113  6 Pm 3.30-3.65, 2 Dy 3.55
Pm  0.0000  0.8410  0.4887  6 Pm 3.30-3.65, 2 Dy 3.55
Dy  0.5000  0.1776  0.1776  8 Pm 3.55-3.71, 2 Ho 3.63, 2 Dy 3.65
Dy  0.5000  0.8224  0.8224  8 Pm 3.55-3.71, 2 Ho 3.63, 2 Dy 3.65
Ho  0.0000  0.0000  0.0000  4 Pm 3.48, 4 Dy 3.63, 2 Ho 3.65

Space-group type: Cmmm
Density of states at the Fermi level: 12.326 states/eV per cell

***

Most stable structure: model P

***

Model P:
DFT (GGA-PBE) results for crystalline PmDy3Ho5 at its relaxed geometry.

a b c (Å): 9.2660 9.2660 12.7501
angles (deg): 51.60 51.60 50.85
Last column: nearest neighbours and their distance in Å.
Fractional coordinates of all 18 atoms:
Dy  0.0000  0.0000  0.5000  4 Ho 3.68, 2 Pm 3.73, 2 Dy 3.89
Dy  0.0000  0.0000  0.0000  2 Ho 2.55
Dy  0.8339  0.8339  0.3412  2 Dy 3.17-3.27, 1 Pm 3.35, 1 Ho 3.37
Dy  0.1661  0.1661  0.6588  2 Dy 3.17-3.27, 1 Pm 3.35, 1 Ho 3.37
Dy  0.6942  0.6942  0.6864  1 Dy 3.27, 5 Ho 3.27-3.53
Dy  0.3058  0.3058  0.3136  1 Dy 3.27, 5 Ho 3.27-3.53
Ho  0.0788  0.4896  0.7801  5 Ho 3.27-3.62, 2 Dy 3.41-3.63, 2 Pm 3.61-3.62
Ho  0.4426  0.4426  0.4339  4 Ho 3.32-3.62, 2 Dy 3.37-3.53
Ho  0.6299  0.6299  0.0709  7 Ho 3.21-3.57, 1 Pm 3.23
Ho  0.6798  0.3202  0.0000  1 Dy 2.55
Ho  0.3202  0.6798  0.0000  1 Dy 2.55
Ho  0.4896  0.0788  0.7801  5 Ho 3.27-3.62, 2 Dy 3.41-3.63, 2 Pm 3.61-3.62
Ho  0.3701  0.3701  0.9291  7 Ho 3.21-3.57, 1 Pm 3.23
Ho  0.5574  0.5574  0.5661  4 Ho 3.32-3.62, 2 Dy 3.37-3.53
Ho  0.5104  0.9212  0.2199  5 Ho 3.27-3.62, 2 Dy 3.41-3.63, 2 Pm 3.61-3.62
Ho  0.9212  0.5104  0.2199  5 Ho 3.27-3.62, 2 Dy 3.41-3.63, 2 Pm 3.61-3.62
Pm  0.8929  0.8929  0.8712  2 Dy 3.16-3.35, 1 Ho 3.23
Pm  0.1071  0.1071  0.1288  2 Dy 3.16-3.35, 1 Ho 3.23

Space-group type: C2/m
Density of states at the Fermi level: 26.948 states/eV per cell

***

Model Q:
DFT (GGA-PBE) results for crystalline PmDy3Ho5 at its relaxed geometry.

a b c (Å): 6.1661 9.1429 11.1986
angles (deg): 89.74 90.00 109.71
Last column: nearest neighbours and their distance in Å.
Fractional coordinates of all 18 atoms:
Dy  0.5587  0.6700  0.5845  5 Ho 3.35-3.70, 2 Dy 3.44-3.51, 1 Pm 3.53
Dy  0.0000  0.0000  0.0000  2 Pm 2.90
Dy  0.0000  0.0000  0.5000  2 Pm 2.90
Dy  0.4413  0.3300  0.4155  5 Ho 3.35-3.70, 2 Dy 3.44-3.51, 1 Pm 3.53
Dy  0.8887  0.3300  0.9155  5 Ho 3.35-3.70, 2 Dy 3.44-3.51, 1 Pm 3.53
Dy  0.1113  0.6700  0.0845  5 Ho 3.35-3.70, 2 Dy 3.44-3.51, 1 Pm 3.53
Ho  0.3759  0.3455  0.7508  3 Ho 3.23-3.48, 2 Dy 3.35-3.49, 1 Pm 3.58
Ho  0.4396  0.3302  0.0857  4 Ho 3.35-3.72, 3 Dy 3.36-3.69, 1 Pm 3.51
Ho  0.8906  0.3302  0.5857  4 Ho 3.35-3.72, 3 Dy 3.36-3.69, 1 Pm 3.51
Ho  0.0304  0.6545  0.7492  3 Ho 3.23-3.48, 2 Dy 3.35-3.49, 1 Pm 3.58
Ho  0.9696  0.3455  0.2508  3 Ho 3.23-3.48, 2 Dy 3.35-3.49, 1 Pm 3.58
Ho  0.4064  0.0000  0.7500  2 Pm 2.92-3.24, 2 Ho 3.23
Ho  0.1094  0.6698  0.4143  4 Ho 3.35-3.72, 3 Dy 3.36-3.69, 1 Pm 3.51
Ho  0.6241  0.6545  0.2492  3 Ho 3.23-3.48, 2 Dy 3.35-3.49, 1 Pm 3.58
Ho  0.5604  0.6698  0.9143  4 Ho 3.35-3.72, 3 Dy 3.36-3.69, 1 Pm 3.51
Ho  0.5936  0.0000  0.2500  2 Pm 2.92-3.24, 2 Ho 3.23
Pm  0.1195  0.0000  0.2500  2 Dy 2.90, 1 Ho 2.92
Pm  0.8805  0.0000  0.7500  2 Dy 2.90, 1 Ho 2.92

Space-group type: C2/c
Density of states at the Fermi level: 26.891 states/eV per cell

***

Most stable structure: model Q